# 1
VASP calculation (GGA-PBE) on ScReTe2Au after structural relaxation.

abc: 5.363 5.363 5.064
angles: 90.00 90.00 90.00
Sites, in units of the cell vectors:
1 Sc 0.000 0.000 0.000
2 Re 0.500 0.500 0.000
3 Te 0.000 0.500 0.500
4 Te 0.500 0.000 0.500
5 Au 0.500 0.500 0.500

Calculated values
uncorrected formation energy: 1098 meV per atom
DOS at the Fermi energy: 4.7 states/eV/cell
M_tot: 2.70 μB per formula unit
VASP energy: -22.851 eV per formula unit



# 2
VASP calculation (GGA-PBE) on ScTi2ReAu after structural relaxation.

abc: 4.714 4.714 5.048
angles: 90.00 90.00 90.00
Sites, in units of the cell vectors:
1 Sc 0.000 0.000 0.000
2 Ti 0.000 0.500 0.500
3 Ti 0.500 0.000 0.500
4 Re 0.000 0.000 0.500
5 Au 0.500 0.500 0.000

Calculated values
ΔH_f (0 K): 2.30 eV per formula unit
DOS at the Fermi energy: 5.9 states/eV/cell
M_tot: 0.00 μB per formula unit
VASP energy: -35.543 eV per formula unit



# 3
VASP calculation (GGA-PBE) on ScReWAu2 after structural relaxation.

abc: 5.022 5.022 4.737
angles: 90.00 90.00 90.00
Sites, in units of the cell vectors:
1 Sc 0.000 0.000 0.000
2 Re 0.500 0.500 0.000
3 W 0.500 0.500 0.500
4 Au 0.000 0.500 0.500
5 Au 0.500 0.000 0.500

Calculated values
ΔH_f (0 K): 5.86 eV per formula unit
DOS at the Fermi energy: 6.3 states/eV/cell
M_tot: 0.28 μB per formula unit
VASP energy: -32.426 eV per formula unit



# 4
VASP calculation (GGA-PBE) on ZrScReAu after structural relaxation.

abc: 4.723 4.723 4.723
angles: 60.00 60.00 60.00
Sites, in units of the cell vectors:
1 Zr 0.000 0.000 0.000
2 Sc 0.500 0.500 0.500
3 Re 0.250 0.250 0.250
4 Au 0.750 0.750 0.750

Calculated values
ΔH_f (0 K): -1.41 eV per formula unit
DOS at the Fermi energy: 2.6 states/eV/cell
M_tot: 0.00 μB per formula unit
VASP energy: -32.015 eV per formula unit



# 5
VASP calculation (GGA-PBE) on ReAu4Se after structural relaxation.

abc: 5.495 5.495 5.495
angles: 60.00 60.00 60.00
Sites, in units of the cell vectors:
1 Re 0.000 0.000 0.000
2 Au 0.375 0.375 0.375
3 Au 0.375 0.375 0.875
4 Au 0.375 0.875 0.375
5 Au 0.875 0.375 0.375
6 Se 0.750 0.750 0.750

Calculated values
uncorrected formation energy: 843 meV per atom
DOS at the Fermi energy: 3.8 states/eV/cell
M_tot: 3.89 μB per formula unit
VASP energy: -23.983 eV per formula unit



# 6
VASP calculation (GGA-PBE) on ReSn2AuSe after structural relaxation.

abc: 5.252 5.252 4.960
angles: 90.00 90.00 90.00
Sites, in units of the cell vectors:
1 Re 0.000 0.000 0.000
2 Sn 0.000 0.500 0.000
3 Sn 0.500 0.000 0.000
4 Au 0.000 0.000 0.500
5 Se 0.500 0.500 0.500

Calculated values
uncorrected formation energy: 715 meV per atom
DOS at the Fermi energy: 6.1 states/eV/cell
M_tot: 0.00 μB per formula unit
VASP energy: -23.639 eV per formula unit



> What is the VASP energy in the third record?

-32.426 eV per formula unit



> Which of these has the lowest VASP energy?

ScTi2ReAu